Compound: LaErGe
Source: OQMD
Functional: GGA-PBE
Structure: relaxed

```
data_LaErGe
_space_group_name_H-M_alt 'F -4 3 m'
_space_group_IT_number 216
_space_group_name_Hall 'F -4 2 3'
_cell_length_a 6.963
_cell_length_b 6.963
_cell_length_c 6.963
_cell_angle_alpha 90.00
_cell_angle_beta 90.00
_cell_angle_gamma 90.00
loop_
_atom_site_label
_atom_site_type_symbol
_atom_site_fract_x
_atom_site_fract_y
_atom_site_fract_z
_atom_site_occupancy
La1 La 0.000 0.000 0.000 1
Er1 Er 0.250 0.250 0.750 1
Ge1 Ge 0.000 0.000 0.500 1
```

Computed properties:
Size of the total moment: 0.19 μB/f.u.
Total DFT energy (no corrections): -4.551 eV/atom
Density: 7.45 g/cm3